Here is a relaxed structure of K3Nb2PbO8 from Alexandria. Energies are from PBE.

Structure (extended XYZ):
```
14
Lattice="6.262 0.000 0.000 -3.131 5.423 0.000 0.000 0.000 7.805" Properties=species:S:1:pos:R:3 pbc="T T T"
K 0.000 3.615 5.237
K 3.131 1.808 2.567
K 0.000 0.000 0.000
Nb 0.000 3.615 1.761
Nb 3.131 1.808 6.043
Pb 0.000 0.000 3.902
O 0.000 3.615 7.749
O 3.131 1.808 0.056
O -1.534 4.501 2.443
O 4.664 0.922 5.362
O 0.000 1.844 2.443
O 3.131 3.578 5.362
O 1.534 4.501 2.443
O 1.597 0.922 5.362
```

Properties
Its space-group type is No. 164. The total energy is -6.802 eV per atom. Its mass density is 4.0 g/cm3.